{"formula": "TbEr2Cu4Si2Sn2", "functional": "PBE", "state": "optimized geometry", "polymorph_energy_ev_per_atom": 0.0000, "space_group": "No. 71", "dft_energy_ev_per_atom": -4.906, "cell": [[-2.151, 3.313, 7.158], [2.151, -3.313, 7.158], [2.151, 3.313, -7.158]], "species": ["Si", "Er", "Cu", "Cu", "Si", "Sn", "Cu", "Sn", "Er", "Tb", "Cu"], "frac_coords": [[0.681, 0.500, 0.181], [0.623, 0.123, 0.500], [0.037, 0.346, 0.691], [0.963, 0.654, 0.309], [0.319, 0.500, 0.819], [0.219, 0.219, 0.000], [0.345, 0.654, 0.691], [0.781, 0.781, 0.000], [0.377, 0.877, 0.500], [0.000, 0.000, 0.000], [0.655, 0.346, 0.309]]}


{"formula": "TbEr2Cu4Si2Sn2", "functional": "PBE", "state": "optimized geometry", "polymorph_energy_ev_per_atom": 0.0723, "space_group": "No. 71", "dft_energy_ev_per_atom": -4.834, "cell": [[-2.825, -0.326, 7.627], [-1.950, 6.818, 3.995], [-1.166, -5.101, -6.234]], "species": ["Er", "Sn", "Cu", "Cu", "Tb", "Sn", "Si", "Cu", "Er", "Cu", "Si"], "frac_coords": [[0.364, 0.864, 0.500], [0.701, 0.500, 0.201], [0.630, 0.319, 0.311], [0.993, 0.681, 0.311], [0.000, 0.000, 0.000], [0.299, 0.500, 0.799], [0.783, 0.783, 0.000], [0.370, 0.681, 0.689], [0.636, 0.136, 0.500], [0.007, 0.319, 0.689], [0.217, 0.217, 0.000]]}


{"formula": "TbErCu2Si2", "functional": "PBE", "state": "optimized geometry", "space_group": "No. 164", "dft_energy_ev_per_atom": -5.248, "cell": [[4.129, 0.000, 0.000], [-2.065, 3.576, 0.000], [0.000, 0.000, 7.479]], "species": ["Tb", "Si", "Er", "Cu", "Cu", "Si"], "frac_coords": [[0.000, 0.000, 0.000], [0.667, 0.333, 0.253], [0.000, 0.000, 0.500], [0.333, 0.667, 0.253], [0.667, 0.333, 0.747], [0.333, 0.667, 0.747]]}


{"formula": "TbErCu2Si2", "functional": "PBE", "state": "optimized geometry", "space_group": "No. 156", "dft_energy_ev_per_atom": -5.246, "cell": [[-4.013, 0.794, -0.726], [1.495, -3.835, -0.568], [-1.596, -1.661, 7.010]], "species": ["Tb", "Si", "Cu", "Cu", "Si", "Er"], "frac_coords": [[0.000, 0.000, 0.747], [0.333, 0.667, 0.504], [0.667, 0.333, 0.474], [0.333, 0.667, 0.991], [0.667, 0.333, 0.014], [0.000, 0.000, 0.248]]}


{"formula": "ErTmCu2Si2", "functional": "PBE", "state": "optimized geometry", "space_group": "No. 164", "dft_energy_ev_per_atom": -5.219, "cell": [[-1.167, -3.109, -2.447], [3.507, 2.029, -0.774], [3.700, -4.760, 4.285]], "species": ["Si", "Cu", "Tm", "Si", "Cu", "Er"], "frac_coords": [[0.667, 0.333, 0.251], [0.667, 0.333, 0.749], [0.000, 0.000, 0.500], [0.333, 0.667, 0.749], [0.333, 0.667, 0.251], [0.000, 0.000, 0.000]]}


{"formula": "ErTm2Cu4Si4", "functional": "PBE", "state": "optimized geometry", "space_group": "No. 71", "dft_energy_ev_per_atom": -5.192, "cell": [[-2.043, 3.249, 6.766], [2.043, -3.249, 6.766], [2.043, 3.249, -6.766]], "species": ["Cu", "Cu", "Si", "Tm", "Si", "Cu", "Si", "Er", "Si", "Tm", "Cu"], "frac_coords": [[0.139, 0.331, 0.809], [0.478, 0.669, 0.809], [0.814, 0.500, 0.314], [0.871, 0.871, 0.000], [0.717, 0.217, 0.500], [0.861, 0.669, 0.191], [0.186, 0.500, 0.686], [0.500, 0.000, 0.500], [0.283, 0.783, 0.500], [0.129, 0.129, 0.000], [0.522, 0.331, 0.191]]}